No. 1
Computed, not measured: a relaxed La2BePtRh crystal at the GGA-PBE level of DFT.

a b c (Å): 5.437 4.228 5.437
angles (deg): 90.00 90.00 90.00
Element x y z (fractional)
Rh: 0.000 0.000 0.000
La: 0.000 0.000 0.500
La: 0.500 0.000 0.000
Pt: 0.500 0.500 0.500
Be: 0.000 0.500 0.000

Calculated volume in A^3/atom: 25.00
Energy relative to the elements in kJ per mole of atoms: -40
D(E_F) in states/eV/atom: 0.8478
Total magnetization in μB per formula unit: 0.00



No. 2
Computed, not measured: a relaxed TlOs2 crystal at the GGA-PBE level of DFT.

a b c (Å): 6.375 6.375 6.375
angles (deg): 90.00 90.00 90.00
Element x y z (fractional)
Tl: 0.500 0.500 0.000
Tl: 0.500 0.000 0.500
Tl: 0.000 0.500 0.500
Tl: 0.000 0.000 0.000
Os: 0.898 0.102 0.398
Os: 0.102 0.898 0.602
Os: 0.398 0.102 0.102
Os: 0.602 0.898 0.898
Os: 0.398 0.398 0.602
Os: 0.898 0.398 0.898
Os: 0.102 0.602 0.102
Os: 0.602 0.602 0.398

Relative energy among the computed polymorphs in meV per atom: 1457
Calculated volume in A^3/atom: 21.59
Energy relative to the elements in kJ per mole of atoms: 196
D(E_F) in states/eV/atom: 1.3909
Total magnetization in μB per formula unit: 0.00



No. 3
Computed, not measured: a relaxed Pr4Dy8Tm crystal at the GGA-PBE level of DFT.

a b c (Å): 7.822 7.822 7.822
angles (deg): 90.10 90.10 90.10
Element x y z (fractional)
Pr: 0.000 0.000 0.000
Pr: 0.000 0.500 0.500
Pr: 0.500 0.500 0.000
Pr: 0.500 0.000 0.500
Dy: 0.759 0.240 0.240
Dy: 0.760 0.241 0.760
Dy: 0.240 0.240 0.759
Dy: 0.241 0.760 0.760
Dy: 0.760 0.760 0.241
Dy: 0.240 0.759 0.240
Dy: 0.760 0.760 0.760
Dy: 0.240 0.240 0.240
Tm: 0.500 0.500 0.500

Calculated volume in A^3/atom: 36.81
Energy relative to the elements in kJ per mole of atoms: 50
D(E_F) in states/eV/atom: 1.8104
Total magnetization in μB per formula unit: 2.02



No. 4
Computed, not measured: a relaxed PuSi4 crystal at the GGA-PBE level of DFT.

a b c (Å): 5.147 5.147 5.147
angles (deg): 90.00 90.00 90.00
Element x y z (fractional)
Pu: 0.500 0.500 0.500
Si: 0.000 0.500 0.500
Si: 0.500 0.000 0.500
Si: 0.000 0.000 0.000
Si: 0.500 0.500 0.000

Calculated volume in A^3/atom: 27.27
D(E_F) in states/eV/atom: 2.1566
Raw formation energy in meV per atom: 1428.1
Total magnetization in μB per formula unit: 5.69